A relaxed SmHo3Ir4 crystal, computed with PBE.

**ΔH_f (0 K)**: -786 meV per atom

a = 4.938 Å, b = 4.938 Å, c = 6.645 Å
α = 90.00°, β = 90.00°, γ = 90.00°
Sites, in units of the cell vectors:
Sm  0.000  0.000  0.000
Ho  0.000  0.000  0.500
Ho  0.500  0.500  0.000
Ho  0.500  0.500  0.500
Ir  0.000  0.500  0.254
Ir  0.000  0.500  0.746
Ir  0.500  0.000  0.254
Ir  0.500  0.000  0.746

A relaxed SmHoIr crystal, computed with PBE.

**E above lowest polymorph**: 2 meV per atom
**ΔH_f (0 K)**: -649 meV per atom

a = 7.474 Å, b = 7.474 Å, c = 4.599 Å
α = 90.00°, β = 90.00°, γ = 120.00°
Sites, in units of the cell vectors:
Sm  0.000  0.410  0.000
Sm  0.410  0.000  0.000
Sm  0.590  0.590  0.000
Ho  0.000  0.740  0.500
Ho  0.260  0.260  0.500
Ho  0.740  0.000  0.500
Ir  0.000  0.000  0.000
Ir  0.333  0.667  0.500
Ir  0.667  0.333  0.500